P | DFT (PBE-GGA) results for a relaxed structure of NaAu2.

```
NaAu2
1.0
0.000 3.967 3.967
3.967 0.000 3.967
3.967 3.967 0.000
Na Au
2 4
Direct
0.125 0.125 0.125
0.875 0.875 0.875
0.000 0.500 0.500
0.500 0.000 0.500
0.500 0.500 0.000
0.500 0.500 0.500
```

Properties
- theoretical density (g/cm³) = 11.09

Q | DFT (PBE-GGA) results for a relaxed structure of NaAu2.

```
NaAu2
1.0
0.000 3.220 3.220
3.220 0.000 3.220
3.220 3.220 0.000
Na Au
1 2
Direct
0.000 0.000 0.000
0.250 0.250 0.250
0.750 0.750 0.750
```

Properties
- theoretical density (g/cm³) = 10.37

Result of the stability comparison: P is the most stable of them.

P | DFT (PBE-GGA) results for a relaxed structure of NaNdAu.

```
NaNdAu
1.0
0.000 3.543 3.543
3.543 0.000 3.543
3.543 3.543 0.000
Na Nd Au
1 1 1
Direct
0.000 0.000 0.000
0.750 0.750 0.750
0.500 0.500 0.500
```

Properties
- total magnetic moment (μB/f.u.) = 0.1
- theoretical density (g/cm³) = 6.80

Q | DFT (PBE-GGA) results for a relaxed structure of NaNdAu.

```
NaNdAu
1.0
0.000 3.528 3.528
3.528 0.000 3.528
3.528 3.528 0.000
Na Nd Au
1 1 1
Direct
0.000 0.000 0.000
0.500 0.500 0.500
0.250 0.250 0.250
```

Properties
- total magnetic moment (μB/f.u.) = 0.0
- theoretical density (g/cm³) = 6.89

Result of the stability comparison: Q is the most stable of them.

P | DFT (PBE-GGA) results for a relaxed structure of NaNiWAu.

```
NaNiWAu
1.0
0.000 3.107 3.107
3.107 0.000 3.107
3.107 3.107 0.000
Na Ni W Au
1 1 1 1
Direct
0.000 0.000 0.000
0.500 0.500 0.500
0.750 0.750 0.750
0.250 0.250 0.250
```

Properties
- total magnetic moment (μB/f.u.) = 0.0
- theoretical density (g/cm³) = 12.80

Q | DFT (PBE-GGA) results for a relaxed structure of NaNiWAu.

```
NaNiWAu
1.0
0.000 3.163 3.163
3.163 0.000 3.163
3.163 3.163 0.000
Na Ni W Au
1 1 1 1
Direct
0.000 0.000 0.000
0.250 0.250 0.250
0.500 0.500 0.500
0.750 0.750 0.750
```

Properties
- total magnetic moment (μB/f.u.) = 0.0
- theoretical density (g/cm³) = 12.13

Result of the stability comparison: Q is the most stable of them.